## NdUOs2 (GGA-PBE)

Data for crystalline NdUOs2 at its relaxed geometry.

Structure (POSCAR):
```
NdUOs2
1.0
3.398 0.000 0.000
0.000 3.398 0.000
0.000 0.000 7.261
Nd U Os
1 1 2
Direct
0.000 0.000 0.000
0.000 0.000 0.500
0.500 0.500 0.299
0.500 0.500 0.701
```

Output
E_tot	-9.667	eV/atom
V	84	Å³/cell
space group	P4/mmm, No. 123
spin magnetization	0.00	μB per formula unit

## Dy3MnRh8 (GGA-PBE)

Data for crystalline Dy3MnRh8 at its relaxed geometry.

Structure (POSCAR):
```
Dy3MnRh8
1.0
2.641 1.525 8.641
-2.641 1.525 8.641
0.000 -3.049 8.641
Dy Mn Rh
3 1 8
Direct
0.000 0.000 0.000
0.129 0.129 0.129
0.618 0.618 0.618
0.495 0.495 0.495
0.061 0.061 0.562
0.061 0.562 0.061
0.064 0.563 0.563
0.312 0.312 0.312
0.562 0.061 0.061
0.563 0.064 0.563
0.563 0.563 0.064
0.812 0.812 0.812
```

Output
E_tot	-7.368	eV/atom
V	209	Å³/cell
space group	R3m, No. 160
spin magnetization	4.55	μB per formula unit

## TmCu12Si4 (GGA-PBE)

Data for crystalline TmCu12Si4 at its relaxed geometry.

Structure (POSCAR):
```
TmCu12Si4
1.0
-4.048 4.048 4.048
4.048 -4.048 4.048
4.048 4.048 -4.048
Tm Cu Si
1 12 4
Direct
0.000 0.000 0.000
0.155 0.351 0.506
0.155 0.649 0.805
0.195 0.845 0.351
0.351 0.195 0.845
0.351 0.506 0.155
0.494 0.845 0.649
0.506 0.155 0.351
0.649 0.494 0.845
0.649 0.805 0.155
0.805 0.155 0.649
0.845 0.351 0.195
0.845 0.649 0.494
0.000 0.000 0.500
0.000 0.500 0.000
0.500 0.000 0.000
0.500 0.500 0.500
```

Output
V	265	Å³/cell
space group	Im-3, No. 204
spin magnetization	0.00	μB per formula unit
energy relative to the elements, uncorrected	0.277	eV per atom

## Sm7Y6Ho16 (GGA-PBE)

Data for crystalline Sm7Y6Ho16 at its relaxed geometry.

Structure (POSCAR):
```
Sm7Y6Ho16
1.0
0.000 7.877 7.877
7.877 0.000 7.877
7.877 7.877 0.000
Sm Y Ho
7 6 16
Direct
0.000 0.000 0.000
0.000 0.000 0.500
0.000 0.500 0.000
0.000 0.500 0.500
0.500 0.000 0.000
0.500 0.000 0.500
0.500 0.500 0.000
0.274 0.274 0.726
0.274 0.726 0.274
0.274 0.726 0.726
0.726 0.274 0.274
0.726 0.274 0.726
0.726 0.726 0.274
0.042 0.653 0.653
0.125 0.125 0.125
0.125 0.125 0.625
0.125 0.625 0.125
0.347 0.347 0.347
0.347 0.347 0.958
0.347 0.958 0.347
0.375 0.875 0.875
0.625 0.125 0.125
0.653 0.042 0.653
0.653 0.653 0.042
0.653 0.653 0.653
0.875 0.375 0.875
0.875 0.875 0.375
0.875 0.875 0.875
0.958 0.347 0.347
```

Output
E_tot	-4.756	eV/atom
V	978	Å³/cell
space group	Fm-3m, No. 225
spin magnetization	0.02	μB per formula unit